Record 1
The following is a DFT calculation (PBE) of Y2ThCo6 after structural relaxation.

The structure in POSCAR format:
```
Y2ThCo6
1.0
6.7382 0.0000 0.0000
-3.3691 5.8355 0.0000
0.0000 0.0000 4.0229
Y Th Co
2 1 6
Cartesian
0.0000 3.8903 0.0000 Y
3.3691 1.9452 0.0000 Y
0.0000 0.0000 0.0000 Th
-1.1255 1.9495 2.0115 Co
-2.2436 3.8860 2.0115 Co
2.2510 0.0000 2.0115 Co
1.1255 1.9495 2.0115 Co
4.4872 0.0000 2.0115 Co
2.2436 3.8860 2.0115 Co
```

Record 2
The following is a DFT calculation (PBE) of Ba2HgPd after structural relaxation.

The structure in POSCAR format:
```
Ba2HgPd
1.0
4.0537 0.0000 0.0000
0.0000 4.0537 0.0000
0.0000 0.0000 8.1416
Ba Hg Pd
2 1 1
Cartesian
0.0000 0.0000 1.8864 Ba
0.0000 0.0000 6.2552 Ba
2.0268 2.0268 4.0708 Hg
2.0268 2.0268 0.0000 Pd
```

Record 3
The following is a DFT calculation (PBE) of NaSrAu2 after structural relaxation.

The structure in POSCAR format:
```
NaSrAu2
1.0
5.1370 0.0000 0.0000
0.0000 5.1370 0.0000
0.0000 0.0000 3.8986
Na Sr Au
1 1 2
Cartesian
0.0000 0.0000 0.0000 Na
2.5685 2.5685 0.0000 Sr
0.0000 2.5685 1.9493 Au
2.5685 0.0000 1.9493 Au
```

Calculated values
The relative energy among the computed polymorphs comes out at 0.033 eV/atom.

Record 4
The following is a DFT calculation (PBE) of LaDyHoTl after structural relaxation.

The structure in POSCAR format:
```
LaDyHoTl
1.0
7.7620 0.0000 0.0000
0.0000 7.7620 0.0000
0.0000 0.0000 7.7620
La Dy Ho Tl
4 4 4 4
Cartesian
0.0000 0.0000 0.0000 La
0.0000 3.8810 3.8810 La
3.8810 0.0000 3.8810 La
3.8810 3.8810 0.0000 La
1.9405 1.9405 1.9405 Dy
1.9405 5.8215 5.8215 Dy
5.8215 1.9405 5.8215 Dy
5.8215 5.8215 1.9405 Dy
1.9405 1.9405 5.8215 Ho
1.9405 5.8215 1.9405 Ho
5.8215 1.9405 1.9405 Ho
5.8215 5.8215 5.8215 Ho
0.0000 0.0000 3.8810 Tl
0.0000 3.8810 0.0000 Tl
3.8810 0.0000 0.0000 Tl
3.8810 3.8810 3.8810 Tl
```

Calculated values
The relative energy among the computed polymorphs comes out at 0.066 eV/atom.

What are the volume values for these records? In order: 17.576; 33.446; 25.719; 29.228 Å³/atom.
What are the E_form values for these records? In order: -0.1930; -0.4954; -0.5345; 0.0004 eV/atom.